1.
Material: La3P2Au
Method: DFT, PBE
State: optimized geometry

Cell lengths 4.950, 13.789, 10.260 Å; angles 90.00, 90.00, 90.00 degrees
Space group Cmcm (No. 63)
Symmetry-distinct sites (fractional):
La (0.000, 0.098, 0.250) (multiplicity 4)
La (0.000, 0.377, 0.050) (multiplicity 8)
P (0.000, 0.000, 0.000) (multiplicity 4)
P (0.000, 0.488, 0.750) (multiplicity 4)
Au (0.000, 0.237, 0.750) (multiplicity 4)

Results
- energy of formation from the pure elements (eV per atom) = -0.96
- V (Å³/atom) = 29.18

---

2.
Material: La2PAu
Method: DFT, PBE
State: optimized geometry

Cell lengths 7.776, 7.776, 8.116 Å; angles 90.00, 90.00, 90.00 degrees
Space group I-42d (No. 122)
Symmetry-distinct sites (fractional):
La (0.235, 0.250, 0.125) (multiplicity 8)
P (0.000, 0.000, 0.000) (multiplicity 4)
Au (0.000, 0.000, 0.500) (multiplicity 4)

Results
- energy of formation from the pure elements (eV per atom) = -0.85
- V (Å³/atom) = 30.67

---

3.
Material: LaP2Au
Method: DFT, PBE
State: optimized geometry

Cell lengths 3.4817, 3.4817, 24.1701 Å; angles 90.00, 90.00, 120.00 degrees
Space group R3m (No. 160, hexagonal axes)
Symmetry-distinct sites (fractional):
La (0.0000, 0.0000, 0.0000) (multiplicity 3)
P (0.0000, 0.0000, 0.2312) (multiplicity 3)
P (0.0000, 0.0000, 0.5124) (multiplicity 3)
Au (0.0000, 0.0000, 0.7659) (multiplicity 3)

Results
- energy of formation from the pure elements (eV per atom) = -0.13
- V (Å³/atom) = 21.14